Entry from Alexandria: crystalline ErCo4Si2 at its relaxed geometry (PBE-GGA).

Properties
Crystal system: tetragonal
Total moment (μB per formula unit): 0.0
Calculated density (g cm⁻³): 8.368
Formation energy without anion corrections (eV/atom): -0.57

```
ErCo4Si2
1.0
3.599 0.000 0.000
0.000 7.116 0.000
0.000 0.000 7.116
Er Co Si
2 8 4
direct
0.500 0.000 0.000
0.000 0.500 0.500
0.000 0.080 0.346
0.000 0.920 0.654
0.500 0.154 0.580
0.500 0.846 0.420
0.500 0.420 0.846
0.500 0.580 0.154
0.000 0.346 0.080
0.000 0.654 0.920
0.000 0.224 0.776
0.000 0.776 0.224
0.500 0.724 0.724
0.500 0.276 0.276
```